The following is a GGA-PBE calculation of TiGe2 after structural relaxation, from the Alexandria database.

Lattice parameters (Å, degrees): 6.1812 5.0851 5.0177 75.44 52.77 51.79
Fractional positions:
Ti 0.2500 0.2500 0.2500
Ti 0.0000 0.0000 0.0000
Ge 0.9194 0.5806 0.9194
Ge 0.5806 0.9194 0.5806
Ge 0.3306 0.6694 0.3306
Ge 0.6694 0.3306 0.6694

Properties
final energy = -6.14 eV per atom



The following is a GGA-PBE calculation of SrNpAg2S4 after structural relaxation, from the Alexandria database.

Lattice parameters (Å, degrees): 5.3975 5.3975 7.7588 110.37 110.37 89.96
Last column: magnetic moment on the atom in μB.
Fractional positions:
Sr 0.5000 0.5000 0.0000  0.00
Np 0.7500 0.2500 0.5000  3.34
Ag 0.2500 0.7500 0.5000  -0.03
Ag 0.0000 0.0000 0.0000  -0.01
S 0.9473 0.4473 0.8946  -0.06
S 0.5527 0.0527 0.1054  -0.06
S 0.7317 0.7317 0.4634  -0.09
S 0.2683 0.2683 0.5366  -0.09

Properties
final energy = -5.57 eV per atom
raw formation energy = -94 kJ per mole of atoms



The following is a GGA-PBE calculation of PaSbAuS after structural relaxation, from the Alexandria database.

Lattice parameters (Å, degrees): 4.4449 4.4449 8.9487 90.00 90.00 90.00
Last column: magnetic moment on the atom in μB.
Fractional positions:
Pa 0.5000 0.0000 0.6897  0.83
Pa 0.0000 0.5000 0.3103  0.83
Sb 0.0000 0.5000 0.8006  -0.01
Sb 0.5000 0.0000 0.1994  -0.01
Au 0.5000 0.5000 0.0000  0.00
Au 0.0000 0.0000 0.0000  0.00
S 0.0000 0.0000 0.5000  -0.03
S 0.5000 0.5000 0.5000  -0.03

Properties
final energy = -6.04 eV per atom
raw formation energy = -76 kJ per mole of atoms



The following is a GGA-PBE calculation of Rb2AcO2F2 after structural relaxation, from the Alexandria database.

Lattice parameters (Å, degrees): 4.6951 4.6951 8.1252 106.79 106.79 90.00
Last column: magnetic moment on the atom in μB.
Fractional positions:
Rb 0.3519 0.3519 0.7039  0.00
Rb 0.6481 0.6481 0.2961  0.00
Ac 0.0000 0.0000 0.0000  0.19
O 0.0000 0.5000 0.0000  0.36
O 0.5000 0.0000 0.0000  0.36
F 0.1676 0.1676 0.3352  0.00
F 0.8324 0.8324 0.6648  0.00

Properties
final energy = -5.39 eV per atom
raw formation energy = -249 kJ per mole of atoms



The following is a GGA-PBE calculation of Ac2Tc3O10 after structural relaxation, from the Alexandria database.

Lattice parameters (Å, degrees): 5.7167 7.7832 9.6613 111.70 107.21 90.00
Last column: magnetic moment on the atom in μB.
Fractional positions:
Ac 0.7129 0.3135 0.4258  0.02
Ac 0.2871 0.6865 0.5742  0.02
Ac 0.6104 0.7117 0.2208  0.01
Ac 0.3896 0.2883 0.7792  0.01
Tc 0.9203 0.5384 0.8407  1.39
Tc 0.0797 0.4616 0.1593  1.39
Tc 0.8193 0.9844 0.6387  -0.52
Tc 0.1807 0.0156 0.3613  -0.52
Tc 0.7153 0.0000 0.0000  -0.03
Tc 0.2847 0.0000 0.0000  -0.03
O 0.6284 0.9814 0.7799  0.01
O 0.1515 0.9814 0.7799  0.01
O 0.3716 0.0186 0.2201  0.01
O 0.8485 0.0186 0.2201  0.01
O 0.6040 0.5229 0.6941  0.08
O 0.0901 0.5229 0.6941  0.08
O 0.3960 0.4771 0.3059  0.08
O 0.9099 0.4771 0.3059  0.08
O 0.9730 0.8145 0.9459  -0.01
O 0.0270 0.1855 0.0541  -0.01
O 0.8691 0.2613 0.7383  -0.02
O 0.1309 0.7387 0.2617  -0.02
O 0.7686 0.7260 0.5371  -0.08
O 0.2314 0.2740 0.4629  -0.08
O 0.4746 0.7870 0.9491  -0.01
O 0.5254 0.2130 0.0509  -0.01
O 0.7720 0.5000 0.0000  0.03
O 0.2280 0.5000 0.0000  0.03
O 0.5000 0.0000 0.5000  -0.02
O 0.0000 0.0000 0.5000  -0.02

Properties
final energy = -8.03 eV per atom
raw formation energy = -203 kJ per mole of atoms



The following is a GGA-PBE calculation of BeSiS3 after structural relaxation, from the Alexandria database.

Lattice parameters (Å, degrees): 4.3190 4.3190 4.3190 90.00 90.00 90.00
Fractional positions:
Be 0.0000 0.0000 0.0000
S 0.0000 0.5000 0.0000
S 0.0000 0.0000 0.5000
S 0.5000 0.0000 0.0000
Si 0.5000 0.5000 0.5000

Properties
final energy = -3.90 eV per atom
raw formation energy = 39 kJ per mole of atoms



The following is a GGA-PBE calculation of HoGa2Re after structural relaxation, from the Alexandria database.

Lattice parameters (Å, degrees): 3.0653 3.0653 9.2908 80.50 80.50 60.00
Fractional positions:
Re 0.0000 0.0000 0.0000
Ho 0.5000 0.5000 0.5000
Ga 0.7394 0.7394 0.7818
Ga 0.2606 0.2606 0.2182

Properties
final energy = -5.67 eV per atom



The following is a GGA-PBE calculation of SrCu2Pb after structural relaxation, from the Alexandria database.

Lattice parameters (Å, degrees): 7.9120 4.8411 3.9577 90.12 59.81 127.71
Fractional positions:
Cu 0.0000 0.0000 0.0000
Cu 0.5000 0.0000 0.5000
Pb 0.0000 0.5000 0.5000
Sr 0.5000 0.5000 0.0000

Properties
final energy = -3.29 eV per atom



The following is a GGA-PBE calculation of Ca2Cu2Pt after structural relaxation, from the Alexandria database.

Lattice parameters (Å, degrees): 4.5527 5.0899 5.5565 117.26 114.18 90.00
Fractional positions:
Ca 0.8066 0.3066 0.6132
Ca 0.1934 0.6934 0.3868
Cu 0.5000 0.7449 0.0000
Cu 0.5000 0.2551 0.0000
Pt 0.0000 0.0000 0.0000

Properties
final energy = -4.11 eV per atom



The following is a GGA-PBE calculation of RbGa2Cu after structural relaxation, from the Alexandria database.

Lattice parameters (Å, degrees): 5.1009 5.1009 5.1009 60.00 60.00 60.00
Fractional positions:
Cu 0.0000 0.0000 0.0000
Ga 0.2500 0.2500 0.2500
Ga 0.7500 0.7500 0.7500
Rb 0.5000 0.5000 0.5000

Properties
final energy = -2.29 eV per atom



The following is a GGA-PBE calculation of ReBWCl2 after structural relaxation, from the Alexandria database.

Lattice parameters (Å, degrees): 3.9142 5.0998 3.9142 90.00 90.00 90.00
Fractional positions:
Re 0.5000 0.5000 0.5000
B 0.0000 0.0000 0.0000
W 0.0000 0.5000 0.0000
Cl 0.0000 0.0000 0.5000
Cl 0.5000 0.0000 0.0000

Properties
final energy = -5.36 eV per atom
raw formation energy = 173 kJ per mole of atoms



The following is a GGA-PBE calculation of K2InTcO6 after structural relaxation, from the Alexandria database.

Lattice parameters (Å, degrees): 5.5382 6.1883 6.1883 120.00 90.00 90.00
Fractional positions:
K 0.1366 0.3333 0.6667
K 0.8634 0.6667 0.3333
In 0.5000 0.0000 0.0000
Tc 0.0000 0.0000 0.0000
O 0.7906 0.1427 0.2854
O 0.7906 0.1427 0.8573
O 0.7906 0.7146 0.8573
O 0.2094 0.8573 0.1427
O 0.2094 0.2854 0.1427
O 0.2094 0.8573 0.7146

Properties
final energy = -5.80 eV per atom
raw formation energy = -125 kJ per mole of atoms